No. 1
The following is a DFT calculation (PBE) of a relaxed structure of CoP2Br.

Cell: 6.2471 6.2471 6.2471 Å, 90.00 90.00 90.00°
Space group Fm-3m (No. 225)
Symmetry-distinct sites (fractional):
Co 0.0000 0.0000 0.0000 [4 per cell]
P 0.2500 0.2500 0.2500 [8 per cell]
Br 0.0000 0.0000 0.5000 [4 per cell]

**Magnetic moment**: 0.000 μB per formula unit
**Excess energy over the best structure of this formula in the dataset**: 1184 meV per atom
**V**: 61 Å³/f.u.
**Raw formation energy**: 23.89 kcal/mol of atoms
**Density**: 5.47 g cm⁻³

No. 2
The following is a DFT calculation (PBE) of a relaxed structure of CoPBr.

Cell: 3.4993 6.0318 11.7552 Å, 90.00 90.00 90.00°
Space group Fmm2 (No. 42)
Symmetry-distinct sites (fractional):
Co 0.0000 0.0000 0.0000 [4 per cell]
P 0.0000 0.0000 0.4027 [4 per cell]
Br 0.0000 0.0000 0.6468 [4 per cell]

**Magnetic moment**: 0.000 μB per formula unit
**Excess energy over the best structure of this formula in the dataset**: 327 meV per atom
**V**: 62 Å³/f.u.
**Raw formation energy**: 5.78 kcal/mol of atoms
**Density**: 4.55 g cm⁻³

No. 3
The following is a DFT calculation (PBE) of a relaxed structure of CoPBr.

Cell: 3.4284 3.4284 5.4747 Å, 90.00 90.00 120.00°
Space group P3m1 (No. 156)
Symmetry-distinct sites (fractional):
Co 0.0000 0.0000 0.0000 [1 per cell]
P 0.6667 0.3333 0.1740 [1 per cell]
Br 0.3333 0.6667 0.7055 [1 per cell]

**Magnetic moment**: 0.001 μB per formula unit
**Excess energy over the best structure of this formula in the dataset**: 0 meV per atom
**V**: 56 Å³/f.u.
**Raw formation energy**: -1.77 kcal/mol of atoms
**Density**: 5.06 g cm⁻³

No. 4
The following is a DFT calculation (PBE) of a relaxed structure of CoP4Br.

Cell: 8.0874 8.0874 8.0874 Å, 90.00 90.00 90.00°
Space group F-43m (No. 216)
Symmetry-distinct sites (fractional):
Co 0.0000 0.0000 0.0000 [4 per cell]
P 0.0971 0.0971 0.5971 [16 per cell]
Br 0.2500 0.2500 0.2500 [4 per cell]

**Magnetic moment**: 2.122 μB per formula unit
**V**: 132 Å³/f.u.
**Raw formation energy**: 15.99 kcal/mol of atoms
**Density**: 3.30 g cm⁻³

No. 5
The following is a DFT calculation (PBE) of a relaxed structure of Pm4CoPBr2.

Cell: 7.3859 3.9636 7.7674 Å, 90.00 106.92 90.00°
Space group P2/m (No. 10)
Symmetry-distinct sites (fractional):
Pm 0.2107 0.0000 0.1904 [2 per cell]
Pm 0.2589 0.5000 0.7978 [2 per cell]
Co 0.0000 0.5000 0.0000 [1 per cell]
P 0.5000 0.0000 0.0000 [1 per cell]
Br 0.0000 0.0000 0.5000 [1 per cell]
Br 0.5000 0.5000 0.5000 [1 per cell]

**Magnetic moment**: 0.000 μB per formula unit
**V**: 218 Å³/f.u.
**Raw formation energy**: -24.80 kcal/mol of atoms
**Density**: 6.33 g cm⁻³

No. 6
The following is a DFT calculation (PBE) of a relaxed structure of Pm8CoP3Br4.

Cell: 8.2849 8.2849 21.7365 Å, 90.00 90.00 120.00°
Space group R-3m (No. 166, hexagonal axes)
Symmetry-distinct sites (fractional):
Pm 0.0000 0.0000 0.2348 [6 per cell]
Pm 0.0151 0.5076 0.2333 [18 per cell]
Co 0.0000 0.0000 0.5000 [3 per cell]
P 0.0000 0.5000 0.5000 [9 per cell]
Br 0.0000 0.0000 0.0000 [3 per cell]
Br 0.0000 0.5000 0.0000 [9 per cell]

**Magnetic moment**: 0.000 μB per formula unit
**V**: 431 Å³/f.u.
**Raw formation energy**: -29.65 kcal/mol of atoms
**Density**: 6.29 g cm⁻³

No. 7
The following is a DFT calculation (PBE) of a relaxed structure of Pm6Co2PBr3.

Cell: 7.0438 12.1954 7.9448 Å, 90.00 107.06 90.00°
Space group C2/m (No. 12)
Symmetry-distinct sites (fractional):
Pm 0.2166 0.0000 0.1942 [4 per cell]
Pm 0.2388 0.3261 0.1943 [8 per cell]
Co 0.0000 0.1669 0.0000 [4 per cell]
P 0.0000 0.5000 0.0000 [2 per cell]
Br 0.0000 0.0000 0.5000 [2 per cell]
Br 0.0000 0.3366 0.5000 [4 per cell]

**Magnetic moment**: 0.000 μB per formula unit
**V**: 326 Å³/f.u.
**Raw formation energy**: -22.15 kcal/mol of atoms
**Density**: 6.41 g cm⁻³

No. 8
The following is a DFT calculation (PBE) of a relaxed structure of Pm8Co3PBr4.

Cell: 8.1023 8.1023 22.8766 Å, 90.00 90.00 120.00°
Space group R-3m (No. 166, hexagonal axes)
Symmetry-distinct sites (fractional):
Pm 0.0000 0.0000 0.2312 [6 per cell]
Pm 0.0132 0.5066 0.7688 [18 per cell]
Co 0.0000 0.5000 0.5000 [9 per cell]
P 0.0000 0.0000 0.5000 [3 per cell]
Br 0.0000 0.0000 0.0000 [3 per cell]
Br 0.0000 0.5000 0.0000 [9 per cell]

**Magnetic moment**: 0.000 μB per formula unit
**V**: 434 Å³/f.u.
**Raw formation energy**: -20.36 kcal/mol of atoms
**Density**: 6.46 g cm⁻³